Sc4SnSbTe2: optimized geometry, GGA-PBE.

a = 7.2068 Å, b = 4.1676 Å, c = 7.2352 Å
α = 90.00°, β = 109.38°, γ = 90.00°
Space group P2/m (No. 10)
One atom of each set of equivalent atoms:
Sc 0.2442 0.0000 0.2387 [2 per cell]
Sc 0.2515 0.5000 0.7618 [2 per cell]
Sn 0.0000 0.5000 0.0000 [1 per cell]
Sb 0.5000 0.0000 0.0000 [1 per cell]
Te 0.0000 0.0000 0.5000 [1 per cell]
Te 0.5000 0.5000 0.5000 [1 per cell]

Summary:
Uncorrected formation energy   -975 meV/atom
Magnetic moment   0.000 μB per cell
Total energy   -47.5 eV/f.u.